Density functional theory data (PBE+U) for a relaxed structure of NiTePt2F.

Geometry as extended XYZ:
```
5
Lattice="-2.6387 -0.6696 -3.7632 1.9031 -4.1959 -0.5878 -3.2800 -1.8561 2.6301" Properties=species:S:1:pos:R:3 pbc="T T T"
Ni 0.0000 0.0000 0.0000
F -2.0078 -3.3608 -0.8605
Pt -1.3194 -0.3348 -1.8816
Te -1.6400 -0.9281 1.3151
Pt 0.9515 -2.0980 -0.2939
```

Computed properties:
SG: No. 123
E_tot in eV for the cell shown: -15.14
Total moment in μB/atom: 0.215
Crystal system: tetragonal

=====

Density functional theory data (PBE+U) for a relaxed structure of TlNiPtF2.

Geometry as extended XYZ:
```
5
Lattice="4.0462 0.0000 0.0000 0.0000 4.0462 0.0000 0.0000 0.0000 5.8923" Properties=species:S:1:pos:R:3 pbc="T T T"
F 2.0231 0.0000 0.0000
F 0.0000 2.0231 0.0000
Pt 0.0000 0.0000 0.0000
Ni 2.0231 2.0231 2.9462
Tl 0.0000 0.0000 2.9462
```

Computed properties:
SG: No. 123
E_tot in eV for the cell shown: -14.32
Total moment in μB/atom: 0.007
Crystal system: tetragonal